# 1
# GGA-PBE La3Ce4NdS8, relaxed
data_La3Ce4NdS8
_chemical_formula_sum 'La3 Ce4 Nd1 S8'
_cell_length_a 8.1708
_cell_length_b 8.1708
_cell_length_c 8.1708
_cell_angle_alpha 59.88
_cell_angle_beta 59.88
_cell_angle_gamma 59.88
_space_group_name_H-M_alt 'P 1'
_space_group_IT_number 1
_space_group_name_Hall 'P 1'
loop_
_atom_site_label
_atom_site_type_symbol
_atom_site_fract_x
_atom_site_fract_y
_atom_site_fract_z
La1 La 0.0000 0.5000 0.5000
La2 La 0.5000 0.0000 0.5000
La3 La 0.5000 0.5000 0.0000
Ce1 Ce 0.0000 0.0000 0.5000
Ce2 Ce 0.0000 0.5000 0.0000
Ce3 Ce 0.5000 0.0000 0.0000
Ce4 Ce 0.5000 0.5000 0.5000
Nd1 Nd 0.0000 0.0000 0.0000
S1 S 0.2451 0.7492 0.7492
S2 S 0.2472 0.2472 0.2472
S3 S 0.2508 0.2508 0.7549
S4 S 0.2508 0.7549 0.2508
S5 S 0.7492 0.2451 0.7492
S6 S 0.7492 0.7492 0.2451
S7 S 0.7528 0.7528 0.7528
S8 S 0.7549 0.2508 0.2508
# - electronic total energy (eV/cell) = -109.66
# - E_form (uncorrected) (eV per atom) = -2.084



# 2
# GGA-PBE LaCe2Nd3S6, relaxed
data_LaCe2Nd3S6
_chemical_formula_sum 'La1 Ce2 Nd3 S6'
_cell_length_a 7.0518
_cell_length_b 7.0518
_cell_length_c 7.0549
_cell_angle_alpha 99.62
_cell_angle_beta 99.62
_cell_angle_gamma 120.05
_space_group_name_H-M_alt 'P 1'
_space_group_IT_number 1
_space_group_name_Hall 'P 1'
loop_
_atom_site_label
_atom_site_type_symbol
_atom_site_fract_x
_atom_site_fract_y
_atom_site_fract_z
La1 La 0.0000 0.0000 0.0000
Ce1 Ce 0.3333 0.6667 0.0000
Ce2 Ce 0.6667 0.3333 0.0000
Nd1 Nd 0.1640 0.8360 0.5000
Nd2 Nd 0.5000 0.5000 0.5000
Nd3 Nd 0.8360 0.1640 0.5000
S1 S 0.0835 0.4218 0.2506
S2 S 0.2558 0.2558 0.7523
S3 S 0.4218 0.0835 0.2506
S4 S 0.5782 0.9165 0.7494
S5 S 0.7442 0.7442 0.2477
S6 S 0.9165 0.5782 0.7494
# - electronic total energy (eV/cell) = -80.57
# - E_form (uncorrected) (eV per atom) = -2.059



# 3
# GGA-PBE La3CeNd3S8, relaxed
data_La3CeNd3S8
_chemical_formula_sum 'La3 Ce1 Nd3 S8'
_cell_length_a 8.2432
_cell_length_b 8.2432
_cell_length_c 8.2432
_cell_angle_alpha 59.46
_cell_angle_beta 59.46
_cell_angle_gamma 59.46
_space_group_name_H-M_alt 'P 1'
_space_group_IT_number 1
_space_group_name_Hall 'P 1'
loop_
_atom_site_label
_atom_site_type_symbol
_atom_site_fract_x
_atom_site_fract_y
_atom_site_fract_z
La1 La 0.0000 0.5000 0.5000
La2 La 0.5000 0.0000 0.5000
La3 La 0.5000 0.5000 0.0000
Ce1 Ce 0.5000 0.5000 0.5000
Nd1 Nd 0.0000 0.0000 0.5000
Nd2 Nd 0.0000 0.5000 0.0000
Nd3 Nd 0.5000 0.0000 0.0000
S1 S 0.2485 0.2485 0.2485
S2 S 0.2503 0.7464 0.7464
S3 S 0.2536 0.2536 0.7497
S4 S 0.2536 0.7497 0.2536
S5 S 0.7464 0.2503 0.7464
S6 S 0.7464 0.7464 0.2503
S7 S 0.7497 0.2536 0.2536
S8 S 0.7515 0.7515 0.7515
# - electronic total energy (eV/cell) = -99.24
# - E_form (uncorrected) (eV per atom) = -2.080



# 4
# GGA-PBE La3Ce2NdSb6, relaxed
data_La3Ce2NdSb6
_chemical_formula_sum 'La3 Ce2 Nd1 Sb6'
_cell_length_a 7.9098
_cell_length_b 7.9098
_cell_length_c 7.9200
_cell_angle_alpha 99.58
_cell_angle_beta 99.58
_cell_angle_gamma 119.99
_space_group_name_H-M_alt 'P 1'
_space_group_IT_number 1
_space_group_name_Hall 'P 1'
loop_
_atom_site_label
_atom_site_type_symbol
_atom_site_fract_x
_atom_site_fract_y
_atom_site_fract_z
La1 La 0.0000 0.0000 0.0000
La2 La 0.3340 0.6660 0.0000
La3 La 0.6660 0.3340 0.0000
Ce1 Ce 0.1670 0.8330 0.5000
Ce2 Ce 0.8330 0.1670 0.5000
Nd1 Nd 0.5000 0.5000 0.5000
Sb1 Sb 0.0833 0.4188 0.2568
Sb2 Sb 0.2453 0.2453 0.7428
Sb3 Sb 0.4188 0.0833 0.2568
Sb4 Sb 0.5812 0.9167 0.7432
Sb5 Sb 0.7547 0.7547 0.2572
Sb6 Sb 0.9167 0.5812 0.7432
# - electronic total energy (eV/cell) = -70.40
# - E_form (uncorrected) (eV per atom) = -1.187



# 5
# GGA-PBE La2CeNdSb4, relaxed
data_La2CeNdSb4
_chemical_formula_sum 'La2 Ce1 Nd1 Sb4'
_cell_length_a 7.9128
_cell_length_b 4.5707
_cell_length_c 7.9203
_cell_angle_alpha 90.00
_cell_angle_beta 109.43
_cell_angle_gamma 90.00
_space_group_name_H-M_alt 'P 1'
_space_group_IT_number 1
_space_group_name_Hall 'P 1'
loop_
_atom_site_label
_atom_site_type_symbol
_atom_site_fract_x
_atom_site_fract_y
_atom_site_fract_z
La1 La 0.0000 0.0000 0.0000
La2 La 0.5000 0.5000 0.0000
Ce1 Ce 0.0000 0.5000 0.5000
Nd1 Nd 0.5000 0.0000 0.5000
Sb1 Sb 0.2462 0.0000 0.7430
Sb2 Sb 0.2500 0.5000 0.2558
Sb3 Sb 0.7500 0.5000 0.7442
Sb4 Sb 0.7538 0.0000 0.2570
# - electronic total energy (eV/cell) = -46.63
# - E_form (uncorrected) (eV per atom) = -1.198



# 6
# GGA-PBE LaCeNdSc, relaxed
data_LaCeNdSc
_chemical_formula_sum 'La4 Ce4 Nd4 Sc4'
_cell_length_a 7.9993
_cell_length_b 7.9993
_cell_length_c 7.9993
_cell_angle_alpha 90.00
_cell_angle_beta 90.00
_cell_angle_gamma 90.00
_space_group_name_H-M_alt 'P 1'
_space_group_IT_number 1
_space_group_name_Hall 'P 1'
loop_
_atom_site_label
_atom_site_type_symbol
_atom_site_fract_x
_atom_site_fract_y
_atom_site_fract_z
La1 La 0.0000 0.0000 0.0000
La2 La 0.0000 0.5000 0.5000
La3 La 0.5000 0.0000 0.5000
La4 La 0.5000 0.5000 0.0000
Ce1 Ce 0.2500 0.2500 0.7500
Ce2 Ce 0.2500 0.7500 0.2500
Ce3 Ce 0.7500 0.2500 0.2500
Ce4 Ce 0.7500 0.7500 0.7500
Nd1 Nd 0.0000 0.0000 0.5000
Nd2 Nd 0.0000 0.5000 0.0000
Nd3 Nd 0.5000 0.0000 0.0000
Nd4 Nd 0.5000 0.5000 0.5000
Sc1 Sc 0.2500 0.2500 0.2500
Sc2 Sc 0.2500 0.7500 0.7500
Sc3 Sc 0.7500 0.2500 0.7500
Sc4 Sc 0.7500 0.7500 0.2500
# - electronic total energy (eV/cell) = -84.68
# - energy of formation from the pure elements (eV/atom) = 0.1979



# 7
# GGA-PBE La4CeNd3Se8, relaxed
data_La4CeNd3Se8
_chemical_formula_sum 'La4 Ce1 Nd3 Se8'
_cell_length_a 8.5422
_cell_length_b 8.5422
_cell_length_c 8.5422
_cell_angle_alpha 59.98
_cell_angle_beta 59.98
_cell_angle_gamma 59.98
_space_group_name_H-M_alt 'P 1'
_space_group_IT_number 1
_space_group_name_Hall 'P 1'
loop_
_atom_site_label
_atom_site_type_symbol
_atom_site_fract_x
_atom_site_fract_y
_atom_site_fract_z
La1 La 0.0000 0.0000 0.0000
La2 La 0.0000 0.5000 0.5000
La3 La 0.5000 0.0000 0.5000
La4 La 0.5000 0.5000 0.0000
Ce1 Ce 0.5000 0.5000 0.5000
Nd1 Nd 0.0000 0.0000 0.5000
Nd2 Nd 0.0000 0.5000 0.0000
Nd3 Nd 0.5000 0.0000 0.0000
Se1 Se 0.2485 0.2485 0.2485
Se2 Se 0.2493 0.7474 0.7474
Se3 Se 0.2526 0.2526 0.7507
Se4 Se 0.2526 0.7507 0.2526
Se5 Se 0.7474 0.2493 0.7474
Se6 Se 0.7474 0.7474 0.2493
Se7 Se 0.7507 0.2526 0.2526
Se8 Se 0.7515 0.7515 0.7515
# - electronic total energy (eV/cell) = -98.55
# - E_form (uncorrected) (eV per atom) = -1.921



# 8
# GGA-PBE La3CeNd2Se6, relaxed
data_La3CeNd2Se6
_chemical_formula_sum 'La3 Ce1 Nd2 Se6'
_cell_length_a 7.3955
_cell_length_b 7.3955
_cell_length_c 7.4007
_cell_angle_alpha 99.61
_cell_angle_beta 99.61
_cell_angle_gamma 120.09
_space_group_name_H-M_alt 'P 1'
_space_group_IT_number 1
_space_group_name_Hall 'P 1'
loop_
_atom_site_label
_atom_site_type_symbol
_atom_site_fract_x
_atom_site_fract_y
_atom_site_fract_z
La1 La 0.0000 0.0000 0.0000
La2 La 0.3317 0.6683 0.0000
La3 La 0.6683 0.3317 0.0000
Ce1 Ce 0.5000 0.5000 0.5000
Nd1 Nd 0.1668 0.8332 0.5000
Nd2 Nd 0.8332 0.1668 0.5000
Se1 Se 0.0873 0.4188 0.2563
Se2 Se 0.2501 0.2501 0.7453
Se3 Se 0.4188 0.0873 0.2563
Se4 Se 0.5812 0.9127 0.7437
Se5 Se 0.7499 0.7499 0.2547
Se6 Se 0.9127 0.5812 0.7437
# - electronic total energy (eV/cell) = -74.21
# - E_form (uncorrected) (eV per atom) = -1.921



# 9
# GGA-PBE La3CeNd4Se8, relaxed
data_La3CeNd4Se8
_chemical_formula_sum 'La3 Ce1 Nd4 Se8'
_cell_length_a 8.5106
_cell_length_b 8.5106
_cell_length_c 8.5106
_cell_angle_alpha 60.15
_cell_angle_beta 60.15
_cell_angle_gamma 60.15
_space_group_name_H-M_alt 'P 1'
_space_group_IT_number 1
_space_group_name_Hall 'P 1'
loop_
_atom_site_label
_atom_site_type_symbol
_atom_site_fract_x
_atom_site_fract_y
_atom_site_fract_z
La1 La 0.0000 0.5000 0.5000
La2 La 0.5000 0.0000 0.5000
La3 La 0.5000 0.5000 0.0000
Ce1 Ce 0.0000 0.0000 0.0000
Nd1 Nd 0.0000 0.0000 0.5000
Nd2 Nd 0.0000 0.5000 0.0000
Nd3 Nd 0.5000 0.0000 0.0000
Nd4 Nd 0.5000 0.5000 0.5000
Se1 Se 0.2457 0.7511 0.7511
Se2 Se 0.2484 0.2484 0.2484
Se3 Se 0.2489 0.2489 0.7543
Se4 Se 0.2489 0.7543 0.2489
Se5 Se 0.7511 0.2457 0.7511
Se6 Se 0.7511 0.7511 0.2457
Se7 Se 0.7516 0.7516 0.7516
Se8 Se 0.7543 0.2489 0.2489
# - electronic total energy (eV/cell) = -98.06
# - E_form (uncorrected) (eV per atom) = -1.900



# 10
# GGA-PBE LaCe2Nd3Se6, relaxed
data_LaCe2Nd3Se6
_chemical_formula_sum 'La1 Ce2 Nd3 Se6'
_cell_length_a 7.3367
_cell_length_b 7.3367
_cell_length_c 7.3454
_cell_angle_alpha 99.60
_cell_angle_beta 99.60
_cell_angle_gamma 120.05
_space_group_name_H-M_alt 'P 1'
_space_group_IT_number 1
_space_group_name_Hall 'P 1'
loop_
_atom_site_label
_atom_site_type_symbol
_atom_site_fract_x
_atom_site_fract_y
_atom_site_fract_z
La1 La 0.0000 0.0000 0.0000
Ce1 Ce 0.3331 0.6669 0.0000
Ce2 Ce 0.6669 0.3331 0.0000
Nd1 Nd 0.1635 0.8365 0.5000
Nd2 Nd 0.5000 0.5000 0.5000
Nd3 Nd 0.8365 0.1635 0.5000
Se1 Se 0.0839 0.4216 0.2514
Se2 Se 0.2553 0.2553 0.7520
Se3 Se 0.4216 0.0839 0.2514
Se4 Se 0.5784 0.9161 0.7486
Se5 Se 0.7447 0.7447 0.2480
Se6 Se 0.9161 0.5784 0.7486
# - electronic total energy (eV/cell) = -74.38
# - E_form (uncorrected) (eV per atom) = -1.865